No. 1
Mo3Se | PBE | optimized geometry

Cell and atoms, written as extended XYZ:
```
4
Lattice="4.3480 2.5103 0.9801 -4.3480 2.5103 0.9801 0.0000 -5.0206 0.9801" Properties=species:S:1:pos:R:3 pbc="T T T"
Mo -2.1740 -1.2552 0.9801
Mo -2.1740 1.2552 1.9602
Mo 0.0000 2.5103 0.9801
Se 0.0000 0.0000 0.0000
```

Results
Energy above the lowest structure with this stoichiometry in meV per atom: 219.2


No. 2
GeSb2PI | PBE | optimized geometry

Cell and atoms, written as extended XYZ:
```
5
Lattice="5.3093 0.0000 0.0000 0.0000 5.3093 0.0000 0.0000 0.0000 5.2508" Properties=species:S:1:pos:R:3 pbc="T T T"
Ge 0.0000 0.0000 0.0000
Sb 0.0000 2.6547 2.6254
Sb 2.6547 0.0000 2.6254
P 2.6547 2.6547 2.6254
I 2.6547 2.6547 0.0000
```

Results
Energy above the lowest structure with this stoichiometry in meV per atom: 0.0


No. 3
K2GeF | PBE | optimized geometry

Cell and atoms, written as extended XYZ:
```
4
Lattice="0.0000 3.9373 3.9373 3.9373 0.0000 3.9373 3.9373 3.9373 0.0000" Properties=species:S:1:pos:R:3 pbc="T T T"
K 1.9687 1.9687 1.9687
K 5.9060 5.9060 5.9060
Ge 0.0000 0.0000 0.0000
F 3.9373 3.9373 3.9373
```

Results
Energy above the lowest structure with this stoichiometry in meV per atom: 287.2